La4Ni3MoO12 | PBE with a Hubbard U | optimized geometry

The structure belongs to space group P4/mmm (No. 123); the cell edges are 5.549, 5.549 and 8.079 Å and the angles 90.00°, 90.00° and 90.00°. The inequivalent atoms are La at (0.000, 0.500, 0.220), Ni at (0.000, 0.000, 0.000), Ni at (0.000, 0.000, 0.500), Ni at (0.500, 0.500, 0.000), Mo at (0.500, 0.500, 0.500), O at (0.000, 0.000, 0.252), O at (0.252, 0.252, 0.000), O at (0.258, 0.258, 0.500) and O at (0.500, 0.500, 0.256).

Its crystal system is tetragonal. The calculation puts the total energy at -0.514 Ry/atom. The calculation puts the total magnetization at 5.858 μB/f.u.